No. 1
Compound: CoGeTe2Se
Source: the Alexandria database
Functional: PBE
Structure: relaxed

Cell and atoms, written as CIF:
```
data_CoGeTe2Se
_symmetry_space_group_name_H-M 'P 4/m m m'
_symmetry_Int_Tables_number 123
_symmetry_space_group_name_Hall '-P 4 2'
_cell_length_a 5.125
_cell_length_b 5.125
_cell_length_c 4.422
_cell_angle_alpha 90.00
_cell_angle_beta 90.00
_cell_angle_gamma 90.00
loop_
_atom_site_label
_atom_site_fract_x
_atom_site_fract_y
_atom_site_fract_z
Co1 0.000 0.000 0.000
Ge1 0.000 0.000 0.500
Te1 0.000 0.500 0.000
Se1 0.500 0.500 0.500
```

Properties
ΔE_f (raw) = 29.5 kJ per mole of atoms


No. 2
Compound: Th4CoGeSe2
Source: the Alexandria database
Functional: PBE
Structure: relaxed

Cell and atoms, written as CIF:
```
data_Th4CoGeSe2
_symmetry_space_group_name_H-M 'P 1 2/m 1'
_symmetry_Int_Tables_number 10
_cell_length_a 7.404
_cell_length_b 4.075
_cell_length_c 7.450
_cell_angle_alpha 90.00
_cell_angle_beta 108.49
_cell_angle_gamma 90.00
loop_
_symmetry_equiv_pos_as_xyz
'x,y,z'
'-x,-y,-z'
'-x,y,-z'
'x,-y,z'
loop_
_atom_site_label
_atom_site_fract_x
_atom_site_fract_y
_atom_site_fract_z
Th1 0.213 0.000 0.220
Th2 0.236 0.500 0.754
Co1 0.000 0.500 0.000
Ge1 0.000 0.000 0.500
Se1 0.500 0.000 0.000
Se2 0.500 0.500 0.500
```

Properties
ΔE_f (raw) = -100.7 kJ per mole of atoms


No. 3
Compound: Tl2CoGeSe4
Source: the Alexandria database
Functional: PBE
Structure: relaxed

Cell and atoms, written as CIF:
```
data_Tl2CoGeSe4
_symmetry_space_group_name_H-M 'F d d d'
_symmetry_Int_Tables_number 70
_cell_length_a 6.233
_cell_length_b 13.211
_cell_length_c 24.041
_cell_angle_alpha 90.00
_cell_angle_beta 90.00
_cell_angle_gamma 90.00
loop_
_symmetry_equiv_pos_as_xyz
'x,y,z'
'-x,-y,-z'
'-x+1/4,-y+1/4,z'
'x+1/4,y+1/4,-z'
'x,-y+1/4,-z+1/4'
'-x,y+1/4,z+1/4'
'-x+1/4,y,-z+1/4'
'x+1/4,-y,z+1/4'
'x,y+1/2,z+1/2'
'-x,-y+1/2,-z+1/2'
'-x+1/4,-y+3/4,z+1/2'
'x+1/4,y+3/4,-z+1/2'
'x,-y+3/4,-z+3/4'
'-x,y+3/4,z+3/4'
'-x+1/4,y+1/2,-z+3/4'
'x+1/4,-y+1/2,z+3/4'
'x+1/2,y,z+1/2'
'-x+1/2,-y,-z+1/2'
'-x+3/4,-y+1/4,z+1/2'
'x+3/4,y+1/4,-z+1/2'
'x+1/2,-y+1/4,-z+3/4'
'-x+1/2,y+1/4,z+3/4'
'-x+3/4,y,-z+3/4'
'x+3/4,-y,z+3/4'
'x+1/2,y+1/2,z'
'-x+1/2,-y+1/2,-z'
'-x+3/4,-y+3/4,z'
'x+3/4,y+3/4,-z'
'x+1/2,-y+3/4,-z+1/4'
'-x+1/2,y+3/4,z+1/4'
'-x+3/4,y+1/2,-z+1/4'
'x+3/4,-y+1/2,z+1/4'
loop_
_atom_site_label
_atom_site_fract_x
_atom_site_fract_y
_atom_site_fract_z
Tl1 0.125 0.125 0.319
Co1 0.125 0.125 0.125
Ge1 0.125 0.125 0.625
Se1 0.123 0.274 0.823
```

Properties
ΔE_f (raw) = -22.2 kJ per mole of atoms


No. 4
Compound: VCoGeSe2
Source: the Alexandria database
Functional: PBE
Structure: relaxed

Cell and atoms, written as CIF:
```
data_VCoGeSe2
_symmetry_space_group_name_H-M 'P 4/m m m'
_symmetry_Int_Tables_number 123
_symmetry_space_group_name_Hall '-P 4 2'
_cell_length_a 4.776
_cell_length_b 4.776
_cell_length_c 4.362
_cell_angle_alpha 90.00
_cell_angle_beta 90.00
_cell_angle_gamma 90.00
loop_
_atom_site_label
_atom_site_fract_x
_atom_site_fract_y
_atom_site_fract_z
V1 0.000 0.000 0.000
Co1 0.000 0.000 0.500
Ge1 0.500 0.500 0.500
Se1 0.000 0.500 0.000
```

Properties
ΔE_f (raw) = 47.2 kJ per mole of atoms
energy above the most stable polymorph in this dataset = 0.000 eV/atom


No. 5
Compound: VCoGeSe2
Source: the Alexandria database
Functional: PBE
Structure: relaxed

Cell and atoms, written as CIF:
```
data_VCoGeSe2
_symmetry_space_group_name_H-M 'P 4/m m m'
_symmetry_Int_Tables_number 123
_symmetry_space_group_name_Hall '-P 4 2'
_cell_length_a 4.901
_cell_length_b 4.901
_cell_length_c 4.605
_cell_angle_alpha 90.00
_cell_angle_beta 90.00
_cell_angle_gamma 90.00
loop_
_atom_site_label
_atom_site_fract_x
_atom_site_fract_y
_atom_site_fract_z
V1 0.000 0.000 0.000
Co1 0.500 0.500 0.000
Ge1 0.000 0.000 0.500
Se1 0.000 0.500 0.500
```

Properties
ΔE_f (raw) = 115.6 kJ per mole of atoms
energy above the most stable polymorph in this dataset = 0.709 eV/atom


No. 6
Compound: Y2CoGeSe
Source: the Alexandria database
Functional: PBE
Structure: relaxed

Cell and atoms, written as CIF:
```
data_Y2CoGeSe
_symmetry_space_group_name_H-M 'P 4/m m m'
_symmetry_Int_Tables_number 123
_symmetry_space_group_name_Hall '-P 4 2'
_cell_length_a 5.426
_cell_length_b 5.426
_cell_length_c 4.950
_cell_angle_alpha 90.00
_cell_angle_beta 90.00
_cell_angle_gamma 90.00
loop_
_atom_site_label
_atom_site_fract_x
_atom_site_fract_y
_atom_site_fract_z
Y1 0.000 0.500 0.000
Co1 0.000 0.000 0.500
Ge1 0.500 0.500 0.000
Se1 0.500 0.500 0.500
```

Properties
ΔE_f (raw) = 41.7 kJ per mole of atoms